A plane-wave DFT calculation with GGA-PBEsol was carried out for a geometry-optimized SrYGa3O7 structure.

Geometry as extended XYZ:
```
24
Lattice="5.5177 -5.6700 0.0000 5.5177 5.6700 0.0000 0.0000 0.0000 5.2282" Properties=species:S:1:pos:R:3 pbc="T T T"
Sr 5.5177 3.8352 0.0000
Sr 5.5177 -3.8352 0.0000
Y 3.7718 0.0000 0.1435
Y 7.2636 0.0000 0.1435
Ga 2.7589 2.8350 2.6082
Ga 1.6720 0.0000 2.4849
Ga 5.5177 1.5843 2.8352
Ga 2.7589 -2.8350 2.6082
Ga 5.5177 -1.5843 2.8352
Ga 9.3634 0.0000 2.4849
O 0.0000 0.0000 1.7492
O 2.4794 1.3776 1.5020
O 1.7799 0.0000 4.2754
O 4.1220 2.3844 3.7300
O 2.4794 -1.3776 1.5020
O 5.5177 1.4033 1.0314
O 6.9134 2.3844 3.7300
O 5.5177 0.0000 3.8163
O 4.1220 -2.3844 3.7300
O 5.5177 -1.4033 1.0314
O 8.5560 1.3776 1.5020
O 6.9134 -2.3844 3.7300
O 9.2555 0.0000 4.2754
O 8.5560 -1.3776 1.5020
```

Space group: Cmm2
DFT total energy (eV/cell): -169.86
Crystal system: orthorhombic

***

A plane-wave DFT calculation with GGA-PBEsol was carried out for a geometry-optimized TaCoBr2 structure.

Geometry as extended XYZ:
```
4
Lattice="3.1894 0.0000 0.0000 0.0000 3.1894 0.0000 0.0000 0.0000 7.7747" Properties=species:S:1:pos:R:3 pbc="T T T"
Ta 0.0000 0.0000 0.0000
Co 1.5947 1.5947 6.5940
Br 0.0000 0.0000 5.1647
Br 1.5947 1.5947 1.9400
```

Relative energy among the computed polymorphs (kcal/mol of atoms): 0.00
Space group: P4mm
Crystal system: tetragonal

***

A plane-wave DFT calculation with GGA-PBEsol was carried out for a geometry-optimized TaCrW2 structure.

Geometry as extended XYZ:
```
4
Lattice="1.4501 0.8372 8.5056 -1.4501 0.8372 8.5056 0.0000 -1.6744 8.5056" Properties=species:S:1:pos:R:3 pbc="T T T"
Ta 0.0000 0.0000 0.0000
Cr 0.0000 0.0000 12.7585
W 0.0000 0.0000 6.1806
W 0.0000 0.0000 19.3364
```

Relative energy among the computed polymorphs (kcal/mol of atoms): 9.91
Space group: R-3m
Crystal system: trigonal

***

A plane-wave DFT calculation with GGA-PBEsol was carried out for a geometry-optimized SrCrRe structure.

Geometry as extended XYZ:
```
3
Lattice="3.1140 0.0000 0.0000 -1.5570 2.6968 0.0000 0.0000 0.0000 7.0300" Properties=species:S:1:pos:R:3 pbc="T T T"
Sr 0.0000 0.0000 0.0000
Cr 1.5570 0.8989 4.2621
Re 0.0000 1.7979 2.7685
```

Relative energy among the computed polymorphs (kcal/mol of atoms): 7.76
Space group: P3m1
Crystal system: trigonal

***

Copy entry 3 word for word.
A plane-wave DFT calculation with GGA-PBEsol was carried out for a geometry-optimized TaCrW2 structure.

Geometry as extended XYZ:
```
4
Lattice="1.4501 0.8372 8.5056 -1.4501 0.8372 8.5056 0.0000 -1.6744 8.5056" Properties=species:S:1:pos:R:3 pbc="T T T"
Ta 0.0000 0.0000 0.0000
Cr 0.0000 0.0000 12.7585
W 0.0000 0.0000 6.1806
W 0.0000 0.0000 19.3364
```

Relative energy among the computed polymorphs (kcal/mol of atoms): 9.91
Space group: R-3m
Crystal system: trigonal